No. 1
Sm4Y8Tm3: relaxed, PBE.

The structure belongs to space group C2/m (No. 12); the cell edges are 13.4347, 12.8397 and 6.7567 Å and the angles 90.00°, 120.06° and 90.00°. The distinct sites, in fractional coordinates, are Sm at (0.0000, 0.0000, 0.0000), Sm at (0.0000, 0.0000, 0.5000), Sm at (0.2500, 0.2500, 0.0000), Y at (0.0000, 0.2531, 0.0000), Y at (0.0000, 0.3592, 0.5000), Y at (0.2297, 0.5000, 0.9620), Y at (0.2344, 0.5000, 0.4865), Tm at (0.0000, 0.5000, 0.0000) and Tm at (0.2500, 0.2500, 0.5000).



No. 2
SmY6Tm4: relaxed, PBE.

The structure belongs to space group P-6m2 (No. 187); the cell edges are 10.8783, 10.8783 and 3.5370 Å and the angles 90.00°, 90.00° and 120.00°. The distinct sites, in fractional coordinates, are Sm at (0.0000, 0.0000, 0.0000), Y at (0.0400, 0.5200, 0.0000), Y at (0.3673, 0.1836, 0.5000), Tm at (0.1612, 0.3224, 0.5000) and Tm at (0.6667, 0.3333, 0.0000).



No. 3
Sm4Y2Tm3: relaxed, PBE.

The structure belongs to space group C2/c (No. 15); the cell edges are 16.8817, 9.7671 and 7.0154 Å and the angles 90.00°, 90.09° and 90.00°. The distinct sites, in fractional coordinates, are Sm at (0.0182, 0.1648, 0.0003), Sm at (0.1750, 0.3550, 0.9997), Y at (0.1585, 0.3096, 0.4995), Tm at (0.0000, 0.5004, 0.2500) and Tm at (0.1695, 0.9996, 0.2499).



No. 4
Sm7Y12Tm: relaxed, PBE.

The structure belongs to space group R-3 (No. 148, hexagonal axes); the cell edges are 18.6484, 18.6484 and 6.8025 Å and the angles 90.00°, 90.00° and 120.00°. The distinct sites, in fractional coordinates, are Sm at (0.0000, 0.0000, 0.0000), Sm at (0.0075, 0.8516, 0.2847), Y at (0.0002, 0.2135, 0.2095), Y at (0.0072, 0.4700, 0.2375) and Tm at (0.0000, 0.0000, 0.5000).



No. 5
Sm7Y2Tm: relaxed, PBE.

The structure belongs to space group Cmmm (No. 65); the cell edges are 8.6739, 17.5028 and 5.3024 Å and the angles 90.00°, 90.00° and 90.00°. The distinct sites, in fractional coordinates, are Sm at (0.0000, 0.0000, 0.0000), Sm at (0.0000, 0.3037, 0.5000), Sm at (0.1798, 0.3926, 0.0000), Y at (0.0000, 0.2055, 0.0000) and Tm at (0.0000, 0.5000, 0.5000).



No. 6
Sm5Y3Tm: relaxed, PBE.

The structure belongs to space group C2/c (No. 15); the cell edges are 16.3469, 6.7542 and 11.5811 Å and the angles 90.00°, 110.13° and 90.00°. The distinct sites, in fractional coordinates, are Sm at (0.0000, 0.1847, 0.2500), Sm at (0.1098, 0.0015, 0.5487), Sm at (0.1717, 0.4079, 0.3494), Y at (0.0000, 0.5000, 0.0000), Y at (0.2387, 0.0998, 0.8692) and Tm at (0.0000, 0.2644, 0.7500).



| no. | total magnetic moment (μB per cell) | offset from the most stable computed form (meV/atom) |
| --- | --- | --- |
| 1 | 1.7 | 245.7 |
| 2 | 0.0 | 45.5 |
| 3 | 0.0 | 0.0 |
| 4 | 0.0 | 85.2 |
| 5 | 0.0 | 249.6 |
| 6 | 0.0 | 0.0 |